Record 1
# ZnOsW

A relaxed ZnOsW crystal (GGA-PBE, the Open Quantum Materials Database).

a = 4.2082 Å, b = 4.2082 Å, c = 4.2082 Å
α = 60.00°, β = 60.00°, γ = 60.00°
Fractional coordinates of all 3 atoms:
Os 0.0000 0.0000 0.0000
W 0.2500 0.2500 0.2500
Zn 0.7500 0.7500 0.7500

Output
Space-group type   F-43m (216)
Energy above the lowest structure with this stoichiometry   0.000 eV/atom
M_tot   0.0 μB per cell
Energy of formation   1.5 eV per formula unit
E   -0.58693 Ry/atom

---

Record 2
# Zr2OsW6

A relaxed Zr2OsW6 crystal (GGA-PBE, the Open Quantum Materials Database).

a = 3.0804 Å, b = 4.2500 Å, c = 14.4273 Å
α = 90.00°, β = 90.00°, γ = 90.00°
Fractional coordinates of all 9 atoms:
Os 0.0000 0.0000 0.0000
W 0.5000 0.5000 0.0000
W 0.0000 0.5000 0.1544
W 0.5000 0.0000 0.1647
W 0.5000 0.5000 0.5000
W 0.5000 0.0000 0.8353
W 0.0000 0.5000 0.8456
Zr 0.5000 0.5000 0.3231
Zr 0.5000 0.5000 0.6769

Output
Space-group type   Pmmm (47)
M_tot   0.0 μB per cell
Energy of formation   8.3 eV per formula unit
E   -0.79822 Ry/atom

---

Record 3
# ZrOs2W

A relaxed ZrOs2W crystal (GGA-PBE, the Open Quantum Materials Database).

a = 4.5190 Å, b = 4.5190 Å, c = 4.5190 Å
α = 60.00°, β = 60.00°, γ = 60.00°
Last column: magnetic moment on the atom in μB.
Fractional coordinates of all 4 atoms:
Os 0.0000 0.0000 0.0000  0.08
Os 0.7500 0.7500 0.7500  0.09
W 0.5000 0.5000 0.5000  -0.01
Zr 0.2500 0.2500 0.2500  0.00

Output
Space-group type   F-43m (216)
M_tot   0.2 μB per cell
Energy of formation   0.9 eV per formula unit
E   -0.79198 Ry/atom